# 1
Density functional theory data (PBE) for crystalline TbSe2 at its relaxed geometry.

Cell and atoms, written as POSCAR:
```
TbSe2
1.0
0.0000 6.2282 6.2282
6.2282 0.0000 6.2282
6.2282 6.2282 0.0000
Tb Se
2 4
Direct
0.1250 0.1250 0.1250
0.8750 0.8750 0.8750
0.0000 0.0000 0.0000
0.0000 0.0000 0.5000
0.0000 0.5000 0.0000
0.5000 0.0000 0.0000
```

Output
The calculation puts the density at 2.18 Mg/m³. The calculation puts the electronic total energy at -4.71 eV per atom. The space group is Fd-3m. The spin magnetization comes out at 2.0 μB/cell.



# 2
Density functional theory data (PBE) for crystalline TbSe at its relaxed geometry.

Cell and atoms, written as POSCAR:
```
TbSe
1.0
0.0000 2.8894 2.8894
2.8894 0.0000 2.8894
2.8894 2.8894 0.0000
Tb Se
1 1
Direct
0.0000 0.0000 0.0000
0.5000 0.5000 0.5000
```

Output
The calculation puts the density at 8.19 Mg/m³. The calculation puts the electronic total energy at -5.83 eV per atom. The space group is Fm-3m. The spin magnetization comes out at 0.0 μB/cell.



# 3
Density functional theory data (PBE) for crystalline TbSe at its relaxed geometry.

Cell and atoms, written as POSCAR:
```
TbSe
1.0
3.5535 0.0000 0.0000
0.0000 3.5535 0.0000
0.0000 0.0000 3.5535
Tb Se
1 1
Direct
0.0000 0.0000 0.0000
0.5000 0.5000 0.5000
```

Output
The calculation puts the density at 8.80 Mg/m³. The calculation puts the electronic total energy at -5.59 eV per atom. The space group is Pm-3m. The spin magnetization comes out at 0.4 μB/cell.